VASP calculation (PBE) on crystalline RbCl2F at its relaxed geometry.

Output
For the total magnetic moment, the calculation gives 0.00 μB/atom. As for the energy: -31.92 eV/cell.

a = 5.3811 Å, b = 5.3811 Å, c = 19.5359 Å
α = 90.00°, β = 90.00°, γ = 120.00°
Space group R-3m (No. 166, hexagonal axes)
Unique sites:
1 Rb 0.0000 0.0000 0.0000 (multiplicity 3)
2 Cl 0.0000 0.0000 0.3959 (multiplicity 6)
3 F 0.0000 0.0000 0.5000 (multiplicity 3)